[1]
InTeWAuS2 | PBE | relaxed

Cell and atoms, written as POSCAR:
```
InTeWAuS2
1.0
2.3092 1.1636 -8.0273
-5.3035 -0.7668 6.5122
0.5276 10.2114 1.6320
Te In Au S W
2 2 2 4 2
direct
0.0413 0.9587 0.2500
0.9587 0.0413 0.7500
0.3030 0.6970 0.7500
0.6970 0.3030 0.2500
0.6690 0.3310 0.7500
0.3310 0.6690 0.2500
0.3956 0.6044 0.0310
0.3956 0.6044 0.4690
0.6044 0.3956 0.9690
0.6044 0.3956 0.5310
0.0000 0.0000 0.0000
0.0000 0.0000 0.5000
```

Calculated values
E (eV/atom): -5.165
Density (g cm⁻³): 7.90
SG: No. 63
Total magnetization (Bohr magnetons per cell): 0.00

[2]
ZrInTeAuS2 | PBE | relaxed

Cell and atoms, written as POSCAR:
```
ZrInTeAuS2
1.0
1.9069 -7.5972 0.0000
1.9069 7.5972 0.0000
0.0000 0.0000 10.6906
Zr S Au In Te
2 4 2 2 2
direct
0.0000 0.0000 0.0000
0.0000 0.0000 0.5000
0.3851 0.6149 0.0408
0.6149 0.3851 0.9592
0.3851 0.6149 0.4592
0.6149 0.3851 0.5408
0.5490 0.4510 0.7500
0.4510 0.5490 0.2500
0.7798 0.2202 0.2500
0.2202 0.7798 0.7500
0.0908 0.9092 0.2500
0.9092 0.0908 0.7500
```

Calculated values
E (eV/atom): -4.992
Density (g cm⁻³): 6.38
SG: No. 63
Total magnetization (Bohr magnetons per cell): 0.00

[3]
TlInAu2S4 | PBE | relaxed

Cell and atoms, written as POSCAR:
```
TlInAu2S4
1.0
-2.9520 2.9520 5.8610
2.9520 -2.9520 5.8610
2.9520 2.9520 -5.8610
Tl S Au In
1 4 2 1
direct
0.7500 0.2500 0.5000
0.3637 0.3790 0.4994
0.6210 0.1204 0.9847
0.8796 0.8643 0.5006
0.1357 0.6363 0.0153
0.2500 0.7500 0.5000
0.0000 0.0000 0.0000
0.5000 0.5000 0.0000
```

Calculated values
E (eV/atom): -3.672
Density (g cm⁻³): 6.84
SG: No. 82